<1>
TcP2, relaxed, DFT PBE-GGA; calculated density = 6.21 g cm⁻³; total magnetization = 0.00 μB/f.u.
1.0
-1.054 2.737 3.303
-3.187 -1.904 -2.394
-0.040 -1.954 1.607
P Tc
2 1
direct
0.667 0.333 0.000
0.333 0.667 0.000
0.000 0.000 0.000

=====

<2>
TcP2, relaxed, DFT PBE-GGA; calculated density = 6.13 g cm⁻³; total magnetization = 0.00 μB/f.u.
1.0
1.671 4.116 -0.005
-1.671 4.116 -0.005
0.000 3.652 6.298
P Tc
4 2
direct
0.401 0.401 0.903
0.145 0.145 0.468
0.599 0.599 0.097
0.855 0.855 0.532
0.156 0.156 0.794
0.844 0.844 0.206

=====

<3>
TcP2, relaxed, DFT PBE-GGA; calculated density = 5.61 g cm⁻³; total magnetization = 0.00 μB/f.u.
1.0
-3.594 1.119 1.288
0.903 -1.302 3.650
1.088 2.697 0.693
Tc P
1 2
direct
0.000 0.000 0.000
0.000 0.500 0.500
0.500 0.000 0.500

=====

<4>
TcP2, relaxed, DFT PBE-GGA; calculated density = 6.48 g cm⁻³; total magnetization = 0.00 μB/f.u.
1.0
4.043 0.000 0.000
0.000 5.436 0.000
0.000 0.000 7.454
P Tc
8 4
direct
0.750 0.840 0.511
0.750 0.340 0.989
0.750 0.427 0.355
0.750 0.927 0.145
0.250 0.073 0.855
0.250 0.573 0.645
0.250 0.160 0.489
0.250 0.660 0.011
0.250 0.261 0.170
0.250 0.761 0.330
0.750 0.239 0.670
0.750 0.739 0.830

=====

Stability summary: most stable <2>, least stable <3>.

=====

<1>
TcP2, relaxed, DFT PBE-GGA; calculated density = 6.00 g cm⁻³; total magnetization = 0.00 μB/f.u.
1.0
-1.119 -4.425 0.242
0.532 -3.927 -2.277
5.555 -2.534 3.139
P Tc
4 2
direct
0.626 0.626 0.734
0.404 0.404 0.646
0.701 0.701 0.407
0.911 0.911 0.058
0.203 0.203 0.949
0.989 0.989 0.372

=====

<2>
TcP2, relaxed, DFT PBE-GGA; calculated density = 6.21 g cm⁻³; total magnetization = 0.00 μB/f.u.
1.0
-3.845 -13.335 -1.383
0.395 -13.890 1.195
0.444 13.760 2.232
Tc P
4 8
direct
0.164 0.664 0.500
0.914 0.914 0.000
0.086 0.086 0.000
0.336 0.836 0.500
0.656 0.156 0.500
0.258 0.258 0.000
0.992 0.492 0.500
0.844 0.344 0.500
0.742 0.742 0.000
0.406 0.406 0.000
0.594 0.594 0.000
0.508 0.008 0.500

=====

<3>
TcP2, relaxed, DFT PBE-GGA; calculated density = 5.62 g cm⁻³; total magnetization = 0.00 μB/f.u.
1.0
1.492 4.218 0.003
-1.492 4.218 0.003
0.000 0.346 7.517
Tc P
2 4
direct
0.581 0.581 0.833
0.419 0.419 0.167
0.895 0.895 0.416
0.137 0.137 0.109
0.863 0.863 0.891
0.105 0.105 0.584

=====

Stability summary: most stable <1>, least stable <2>.

=====

<1>
TcP2, relaxed, DFT PBE-GGA; calculated density = 6.17 g cm⁻³; total magnetization = 0.00 μB/f.u.
1.0
-7.082 1.475 7.253
-7.665 4.784 4.828
5.999 -4.196 -7.166
P Tc
4 2
direct
0.572 0.572 0.000
0.178 0.678 0.500
0.322 0.822 0.500
0.428 0.428 0.000
0.000 0.000 0.000
0.750 0.250 0.500

=====

<2>
TcP2, relaxed, DFT PBE-GGA; calculated density = 6.13 g cm⁻³; total magnetization = 0.00 μB/f.u.
1.0
1.514 5.539 -0.012
-1.514 5.539 -0.012
0.000 2.820 5.164
P Tc
4 2
direct
0.172 0.172 0.325
0.552 0.552 0.731
0.828 0.828 0.675
0.448 0.448 0.269
0.858 0.858 0.062
0.142 0.142 0.938

=====

<3>
TcP2, relaxed, DFT PBE-GGA; calculated density = 5.46 g cm⁻³; total magnetization = 0.00 μB/f.u.
1.0
6.038 -0.011 0.000
4.624 3.882 0.000
-5.331 -1.936 2.071
P Tc
2 1
direct
0.375 0.375 0.000
0.625 0.625 0.000
0.000 0.000 0.000

=====

<4>
TcP2, relaxed, DFT PBE-GGA; calculated density = 5.82 g cm⁻³; total magnetization = 0.00 μB/f.u.
1.0
2.826 0.000 0.000
0.000 5.322 0.000
0.000 0.000 6.070
P Tc
4 2
direct
0.500 0.837 0.621
0.000 0.663 0.121
0.500 0.163 0.379
0.000 0.337 0.879
0.000 0.500 0.500
0.500 0.000 0.000

=====

Stability summary: most stable <4>, least stable <3>.